Entry 1:
Below is a relaxed structure of Gd2TmSn3IrPd2, with properties calculated at the GGA-PBE level.

Cell: 3.930 13.136 7.600 Å, 90.00 90.00 90.00°
Space group Amm2 (No. 38)
Inequivalent atoms, fractional coordinates:
Gd  0.000  0.201  0.000 x4
Tm  0.000  0.000  0.600 x2
Sn  0.500  0.000  0.943 x2
Sn  0.500  0.129  0.331 x4
Ir  0.000  0.000  0.204 x2
Pd  0.500  0.164  0.700 x4

Values from the calculation:
VASP energy = -5.91 eV/atom
Magnetic moment = 0.00 μB/atom

***

Entry 2:
Below is a relaxed structure of Na2ZnSi3O8, with properties calculated at the GGA-PBE level.

Cell: 6.366 8.551 6.603 Å, 90.00 104.22 90.00°
Space group P2_1 (No. 4)
Inequivalent atoms, fractional coordinates:
Na  0.087  0.000  0.463 x2
Na  0.328  0.435  0.215 x2
Zn  0.465  0.625  0.600 x2
Si  0.085  0.132  0.987 x2
Si  0.253  0.815  0.891 x2
Si  0.347  0.297  0.733 x2
O  0.074  0.956  0.882 x2
O  0.121  0.260  0.812 x2
O  0.165  0.659  0.992 x2
O  0.248  0.148  0.211 x2
O  0.279  0.792  0.658 x2
O  0.287  0.437  0.564 x2
O  0.431  0.137  0.655 x2
O  0.483  0.866  0.051 x2

Values from the calculation:
VASP energy = -6.70 eV/atom

***

Entry 3:
Below is a relaxed structure of BaSnHgCl2O2, with properties calculated at the GGA-PBE level.

Cell: 11.871 4.051 8.020 Å, 90.00 121.90 90.00°
Space group Cm (No. 8)
Inequivalent atoms, fractional coordinates:
Ba  0.000  0.000  0.000 x2
Sn  0.138  0.500  0.498 x2
Hg  0.338  0.500  0.307 x2
Cl  0.276  0.000  0.974 x2
Cl  0.415  0.000  0.649 x2
O  0.030  0.000  0.371 x2
O  0.143  0.500  0.235 x2

Values from the calculation:
VASP energy = -4.35 eV/atom

***

Entry 4:
Below is a relaxed structure of InCuTcAu, with properties calculated at the GGA-PBE level.

Cell: 6.437 6.437 6.437 Å, 90.00 90.00 90.00°
Space group F-43m (No. 216)
Inequivalent atoms, fractional coordinates:
In  0.000  0.000  0.000 x4
Cu  0.250  0.250  0.250 x4
Tc  0.250  0.250  0.750 x4
Au  0.000  0.000  0.500 x4

Values from the calculation:
VASP energy = -4.70 eV/atom
Magnetic moment = 0.33 μB/atom

***

Entry 5:
Below is a relaxed structure of CsSrTbTe3, with properties calculated at the GGA-PBE level.

Cell: 5.020 17.364 12.912 Å, 90.00 90.00 90.00°
Space group Cmcm (No. 63)
Inequivalent atoms, fractional coordinates:
Cs  0.000  0.250  0.250 x4
Sr  0.000  0.000  0.000 x4
Tb  0.000  0.472  0.750 x4
Te  0.000  0.068  0.750 x4
Te  0.000  0.377  0.565 x8

Values from the calculation:
VASP energy = -4.14 eV/atom
Magnetic moment = 0.00 μB/atom

***

Entry 6:
Below is a relaxed structure of RbThPb, with properties calculated at the GGA-PBE level.

Cell: 7.915 7.915 7.915 Å, 90.00 90.00 90.00°
Space group F-43m (No. 216)
Inequivalent atoms, fractional coordinates:
Rb  0.000  0.000  0.000 x4
Th  0.000  0.000  0.500 x4
Pb  0.250  0.250  0.250 x4

Values from the calculation:
VASP energy = -3.48 eV/atom
Magnetic moment = 0.30 μB/atom

***

Entry 7:
Below is a relaxed structure of PmBSb, with properties calculated at the GGA-PBE level.

Cell: 6.428 6.428 6.428 Å, 90.00 90.00 90.00°
Space group F-43m (No. 216)
Inequivalent atoms, fractional coordinates:
Pm  0.000  0.000  0.000 x4
B  0.250  0.250  0.250 x4
Sb  0.000  0.000  0.500 x4

Values from the calculation:
VASP energy = -4.98 eV/atom
Magnetic moment = 0.00 μB/atom

***

Entry 8:
Below is a relaxed structure of CdGaCuNi, with properties calculated at the GGA-PBE level.

Cell: 6.144 6.144 6.144 Å, 90.00 90.00 90.00°
Space group F-43m (No. 216)
Inequivalent atoms, fractional coordinates:
Cd  0.000  0.000  0.000 x4
Ga  0.000  0.000  0.500 x4
Cu  0.250  0.250  0.750 x4
Ni  0.250  0.250  0.250 x4

Values from the calculation:
VASP energy = -3.35 eV/atom
Magnetic moment = 0.00 μB/atom

***

Entry 9:
Below is a relaxed structure of PmAgTeO, with properties calculated at the GGA-PBE level.

Cell: 4.662 5.621 6.981 Å, 90.00 90.00 90.00°
Space group Pmc2_1 (No. 26)
Inequivalent atoms, fractional coordinates:
Pm  0.000  0.228  0.000 x2
Ag  0.500  0.150  0.656 x2
Te  0.500  0.375  0.304 x2
O  0.000  0.061  0.714 x2

Values from the calculation:
VASP energy = -5.35 eV/atom
Magnetic moment = 0.00 μB/atom

***

Entry 10:
Below is a relaxed structure of TlCdCoAu, with properties calculated at the GGA-PBE level.

Cell: 6.673 6.673 6.673 Å, 90.00 90.00 90.00°
Space group F-43m (No. 216)
Inequivalent atoms, fractional coordinates:
Tl  0.000  0.000  0.000 x4
Cd  0.000  0.000  0.500 x4
Co  0.250  0.250  0.250 x4
Au  0.250  0.250  0.750 x4

Values from the calculation:
VASP energy = -3.08 eV/atom
Magnetic moment = 0.37 μB/atom

***

Entry 11:
Below is a relaxed structure of Er2Tm2Lu3Ni2Te2, with properties calculated at the GGA-PBE level.

Cell: 3.819 15.351 9.464 Å, 90.00 90.00 90.00°
Space group Imm2 (No. 44)
Inequivalent atoms, fractional coordinates:
Er  0.000  0.185  0.000 x4
Tm  0.000  0.146  0.352 x4
Lu  0.000  0.365  0.206 x4
Lu  0.000  0.500  0.624 x2
Ni  0.000  0.263  0.693 x4
Te  0.000  0.000  0.856 x2
Te  0.000  0.500  0.963 x2

Values from the calculation:
VASP energy = -5.13 eV/atom
Magnetic moment = 0.00 μB/atom

***

Entry 12:
Below is a relaxed structure of ScBeTcTe, with properties calculated at the GGA-PBE level.

Cell: 6.453 6.453 6.453 Å, 90.00 90.00 90.00°
Space group F-43m (No. 216)
Inequivalent atoms, fractional coordinates:
Sc  0.000  0.000  0.000 x4
Be  0.000  0.000  0.500 x4
Tc  0.250  0.250  0.250 x4
Te  0.250  0.250  0.750 x4

Values from the calculation:
VASP energy = -5.59 eV/atom
Magnetic moment = 0.05 μB/atom

***

The highest VASP energy belongs to which entry? TlCdCoAu

***

Repeat the tenth record exactly.
Below is a relaxed structure of TlCdCoAu, with properties calculated at the GGA-PBE level.

Cell: 6.673 6.673 6.673 Å, 90.00 90.00 90.00°
Space group F-43m (No. 216)
Inequivalent atoms, fractional coordinates:
Tl  0.000  0.000  0.000 x4
Cd  0.000  0.000  0.500 x4
Co  0.250  0.250  0.250 x4
Au  0.250  0.250  0.750 x4

Values from the calculation:
VASP energy = -3.08 eV/atom
Magnetic moment = 0.37 μB/atom